Record 1
First-principles (PBE-GGA) data for Tb4Zn5Si6 after structural relaxation, as listed in the Alexandria database.

a = 4.189 Å, b = 18.333 Å, c = 15.178 Å
α = 90.00°, β = 90.00°, γ = 90.00°
Space group Cmc2_1 (No. 36)
One atom of each set of equivalent atoms:
Tb 0.000 0.019 0.000 x4
Tb 0.000 0.033 0.262 x4
Tb 0.000 0.168 0.804 x4
Tb 0.000 0.176 0.445 x4
Zn 0.000 0.151 0.127 x4
Zn 0.000 0.300 0.124 x4
Zn 0.000 0.344 0.775 x4
Zn 0.000 0.351 0.478 x4
Zn 0.000 0.435 0.184 x4
Si 0.000 0.113 0.619 x4
Si 0.000 0.220 0.988 x4
Si 0.000 0.226 0.263 x4
Si 0.000 0.431 0.630 x4
Si 0.000 0.433 0.903 x4
Si 0.000 0.443 0.355 x4

ΔE_f (raw) ... -0.499 eV per atom
Size of the total moment ... 0.00 μB/atom
Total energy ... -259.6 eV per cell

***

Record 2
First-principles (PBE-GGA) data for AgSbOs2 after structural relaxation, as listed in the Alexandria database.

a = 9.245 Å, b = 2.994 Å, c = 5.088 Å
α = 90.00°, β = 105.94°, γ = 90.00°
Space group C2/m (No. 12)
One atom of each set of equivalent atoms:
Ag 0.000 0.000 0.000 x2
Sb 0.000 0.500 0.500 x2
Os 0.235 0.000 0.766 x4

ΔE_f (raw) ... 0.748 eV per atom
Size of the total moment ... 0.00 μB/atom
Total energy ... -52.9 eV per cell